20
Lattice="7.764 0.000 0.000 0.000 3.864 0.000 -0.881 0.000 8.351" Properties=species:S:1:pos:R:3 comment="Zn3InNi6 PBE relaxed" delta_e_f_ev_per_fu=-1.6 crystal_system=monoclinic pbc="T T T"
Zn 0.055 0.966 3.309
Zn 1.031 2.898 1.585
Zn 1.066 0.966 8.224
Zn 5.817 2.898 0.127
Zn 5.852 0.966 6.766
Zn 6.828 2.898 5.042
In 2.867 0.966 5.143
In 4.016 2.898 3.208
Ni -0.458 2.898 7.498
Ni 0.391 0.966 5.839
Ni 1.390 2.898 4.116
Ni 1.919 2.898 6.705
Ni 2.418 0.966 2.365
Ni 3.397 2.898 0.708
Ni 3.486 0.966 7.643
Ni 4.465 2.898 5.986
Ni 4.965 0.966 1.646
Ni 5.493 0.966 4.235
Ni 6.492 2.898 2.512
Ni 7.341 0.966 0.853

8
Lattice="5.226 0.000 0.000 -2.613 4.526 0.000 0.000 0.000 4.174" Properties=species:S:1:pos:R:3 comment="ZnInNi6 PBE relaxed" de_polymorph_mev_per_atom=4 delta_e_f_ev_per_fu=-0.5 crystal_system=hexagonal pbc="T T T"
Zn 0.000 0.000 0.000
In 0.000 3.017 2.087
Ni 1.324 0.765 2.087
Ni 2.613 0.090 0.000
Ni 1.384 2.218 0.000
Ni 3.901 0.765 2.087
Ni 2.613 2.996 2.087
Ni 3.841 2.218 0.000

4
Lattice="3.122 0.000 0.000 0.000 3.613 0.000 -0.044 0.000 6.435" Properties=species:S:1:pos:R:3 comment="ZnIn2Ni PBE relaxed" delta_e_f_ev_per_fu=0.4 crystal_system=monoclinic pbc="T T T"
Zn 0.000 0.000 0.000
In 1.550 1.806 1.731
In 1.528 1.806 4.704
Ni -0.022 0.000 3.218

4
Lattice="4.859 0.000 0.000 0.000 4.859 0.000 0.000 0.000 3.063" Properties=species:S:1:pos:R:3 comment="ZnIn2Ni PBE relaxed" delta_e_f_ev_per_fu=0.5 crystal_system=tetragonal pbc="T T T"
Zn 0.000 0.000 0.000
In 0.000 2.430 1.531
In 2.430 0.000 1.531
Ni 2.430 2.430 0.000

4
Lattice="6.440 -1.436 0.000 6.440 1.436 0.000 -1.491 0.000 4.149" Properties=species:S:1:pos:R:3 comment="ZnIn2Ni PBE relaxed" delta_e_f_ev_per_fu=-0.1 crystal_system=monoclinic pbc="T T T"
Zn 0.000 0.000 0.000
In 1.204 0.000 2.793
In 4.271 0.000 1.561
Ni 8.458 0.000 0.744

5
Lattice="-1.780 1.780 5.972 1.780 -1.780 5.972 1.780 1.780 -5.972" Properties=species:S:1:pos:R:3 comment="Zn2InNi2 PBE relaxed" delta_e_f_ev_per_fu=-0.1 crystal_system=tetragonal pbc="T T T"
Zn 1.780 0.000 2.986
Zn 0.000 1.780 2.986
In 0.000 0.000 0.000
Ni 0.000 0.000 4.782
Ni 0.000 0.000 7.162

4
Lattice="2.882 -3.713 0.000 2.882 3.713 0.000 0.000 0.000 3.379" Properties=species:S:1:pos:R:3 comment="ZnIn2Ni PBE relaxed" delta_e_f_ev_per_fu=0.5 crystal_system=orthorhombic pbc="T T T"
Zn 0.000 0.000 0.000
In 1.441 1.856 1.690
In 1.441 -1.856 1.690
Ni 2.882 0.000 0.000

4
Lattice="3.094 0.000 0.000 0.000 3.094 0.000 0.000 0.000 7.925" Properties=species:S:1:pos:R:3 comment="ZnIn2Ni PBE relaxed" delta_e_f_ev_per_fu=0.1 crystal_system=tetragonal pbc="T T T"
Zn 0.000 0.000 0.000
In 0.000 0.000 4.956
In 1.547 1.547 2.213
Ni 1.547 1.547 6.659

8
Lattice="5.212 0.000 0.000 0.000 5.212 0.000 0.000 0.000 3.621" Properties=species:S:1:pos:R:3 comment="ZnInNi6 PBE relaxed" de_polymorph_mev_per_atom=0 delta_e_f_ev_per_fu=-0.5 crystal_system=tetragonal pbc="T T T"
Zn 0.000 0.000 0.000
In 2.606 2.606 0.000
Ni 0.000 2.606 0.000
Ni 1.251 1.251 1.810
Ni 1.251 3.961 1.810
Ni 2.606 0.000 0.000
Ni 3.961 1.251 1.810
Ni 3.961 3.961 1.810

10
Lattice="7.093 0.000 0.000 0.000 7.093 0.000 0.000 0.000 2.833" Properties=species:S:1:pos:R:3 comment="Zn2InNi2 PBE relaxed" delta_e_f_ev_per_fu=-0.4 crystal_system=tetragonal pbc="T T T"
Zn 0.891 2.655 0.000
Zn 2.655 6.202 0.000
Zn 4.437 0.891 0.000
Zn 6.202 4.437 0.000
In 0.000 0.000 0.000
In 3.546 3.546 0.000
Ni 1.200 4.746 1.417
Ni 2.346 1.200 1.417
Ni 4.746 5.893 1.417
Ni 5.893 2.346 1.417

10
Lattice="2.938 0.000 0.000 0.000 2.938 0.000 0.000 0.000 14.849" Properties=species:S:1:pos:R:3 comment="Zn4InNi5 PBE relaxed" delta_e_f_ev_per_fu=-2.0 crystal_system=tetragonal pbc="T T T"
Zn 0.000 0.000 1.406
Zn 0.000 0.000 4.231
Zn 0.000 0.000 10.618
Zn 0.000 0.000 13.443
In 0.000 0.000 7.425
Ni 1.469 1.469 0.000
Ni 1.469 1.469 2.810
Ni 1.469 1.469 5.646
Ni 1.469 1.469 9.203
Ni 1.469 1.469 12.039

7
Lattice="3.754 0.000 0.000 0.000 3.754 0.000 0.000 0.000 6.680" Properties=species:S:1:pos:R:3 comment="ZnInNi5 PBE relaxed" delta_e_f_ev_per_fu=0.8 crystal_system=tetragonal pbc="T T T"
Zn 0.000 0.000 0.000
In 1.877 1.877 3.340
Ni 0.000 0.000 3.340
Ni 0.000 1.877 1.507
Ni 0.000 1.877 5.172
Ni 1.877 0.000 1.507
Ni 1.877 0.000 5.172

10
Lattice="6.737 0.000 0.000 0.000 6.737 0.000 0.000 0.000 3.579" Properties=species:S:1:pos:R:3 comment="ZnIn2Ni2 PBE relaxed" delta_e_f_ev_per_fu=-0.5 crystal_system=tetragonal pbc="T T T"
Zn 0.000 0.000 0.000
Zn 3.368 3.368 0.000
In 1.087 2.282 1.790
In 2.282 5.650 1.790
In 4.455 1.087 1.790
In 5.650 4.455 1.790
Ni 0.941 4.309 0.000
Ni 2.428 0.941 0.000
Ni 4.309 5.796 0.000
Ni 5.796 2.428 0.000

8
Lattice="-2.133 2.133 9.021 2.133 -2.133 9.021 2.133 2.133 -9.021" Properties=species:S:1:pos:R:3 comment="ZnIn2Ni PBE relaxed" delta_e_f_ev_per_fu=1.0 crystal_system=tetragonal pbc="T T T"
Zn 0.000 0.000 0.000
Zn 0.000 2.133 4.510
In 1.067 -1.005 6.766
In 1.128 1.067 2.255
In 1.067 3.138 -2.255
In 1.005 1.067 11.276
Ni 2.133 0.000 4.510
Ni 0.000 0.000 9.021

5
Lattice="4.975 0.000 0.000 0.000 4.975 0.000 0.000 0.000 4.975" Properties=species:S:1:pos:R:3 comment="ZnIn3Ni PBE relaxed" de_polymorph_mev_per_atom=0 delta_e_f_ev_per_fu=0.3 crystal_system=cubic pbc="T T T"
Zn 0.000 0.000 0.000
In 0.000 2.487 2.487
In 2.487 0.000 2.487
In 2.487 2.487 0.000
Ni 2.487 2.487 2.487

10
Lattice="6.916 0.000 0.000 0.000 6.916 0.000 0.000 0.000 3.033" Properties=species:S:1:pos:R:3 comment="Zn2InNi2 PBE relaxed" delta_e_f_ev_per_fu=-0.5 crystal_system=tetragonal pbc="T T T"
Zn 1.038 2.420 0.000
Zn 2.420 5.878 0.000
Zn 4.497 1.038 0.000
Zn 5.878 4.497 0.000
In 0.000 0.000 1.517
In 3.458 3.458 1.517
Ni 0.978 4.436 1.517
Ni 2.480 0.978 1.517
Ni 4.436 5.939 1.517
Ni 5.939 2.480 1.517

4
Lattice="-2.044 2.044 4.315 2.044 -2.044 4.315 2.044 2.044 -4.315" Properties=species:S:1:pos:R:3 comment="ZnIn2Ni PBE relaxed" delta_e_f_ev_per_fu=0.5 crystal_system=tetragonal pbc="T T T"
Zn 0.000 0.000 0.000
In 2.044 0.000 2.158
In 0.000 0.000 4.315
Ni 0.000 2.044 2.158

5
Lattice="4.650 0.000 0.000 0.000 4.650 0.000 0.000 0.000 4.650" Properties=species:S:1:pos:R:3 comment="ZnInNi3 PBE relaxed" de_polymorph_mev_per_atom=1011 delta_e_f_ev_per_fu=5.7 crystal_system=cubic pbc="T T T"
Zn 0.000 0.000 0.000
In 2.325 2.325 2.325
Ni 0.000 2.325 2.325
Ni 2.325 0.000 2.325
Ni 2.325 2.325 0.000

10
Lattice="6.581 0.000 0.000 0.000 6.581 0.000 0.000 0.000 4.292" Properties=species:S:1:pos:R:3 comment="Zn2In2Ni PBE relaxed" delta_e_f_ev_per_fu=0.8 crystal_system=tetragonal pbc="T T T"
Zn 0.936 2.355 0.000
Zn 2.355 5.645 0.000
Zn 4.226 0.936 0.000
Zn 5.645 4.226 0.000
In 1.147 4.438 2.146
In 2.143 1.147 2.146
In 4.438 5.434 2.146
In 5.434 2.143 2.146
Ni 0.000 0.000 0.000
Ni 3.290 3.290 0.000

6
Lattice="0.000 4.207 4.207 4.207 0.000 4.207 4.207 4.207 0.000" Properties=species:S:1:pos:R:3 comment="ZnIn4Ni PBE relaxed" delta_e_f_ev_per_fu=3.4 crystal_system=cubic pbc="T T T"
Zn 0.000 0.000 0.000
In 5.257 3.158 3.158
In 3.158 5.257 3.158
In 3.158 3.158 5.257
In 5.257 5.257 5.257
Ni 2.104 2.104 2.104

4
Lattice="0.000 3.352 3.352 3.352 0.000 3.352 3.352 3.352 0.000" Properties=species:S:1:pos:R:3 comment="ZnIn2Ni PBE relaxed" delta_e_f_ev_per_fu=1.1 crystal_system=cubic pbc="T T T"
Zn 0.000 0.000 0.000
In 1.676 1.676 1.676
In 3.352 3.352 3.352
Ni 5.028 5.028 5.028

4
Lattice="1.591 0.918 8.833 -1.591 0.918 8.833 0.000 -1.837 8.833" Properties=species:S:1:pos:R:3 comment="ZnIn2Ni PBE relaxed" delta_e_f_ev_per_fu=0.4 crystal_system=trigonal pbc="T T T"
Zn 0.000 0.000 0.000
In 0.000 0.000 14.083
In 0.000 0.000 20.120
Ni 0.000 0.000 7.169

4
Lattice="4.377 -1.757 0.000 4.377 1.757 0.000 -1.111 0.000 4.882" Properties=species:S:1:pos:R:3 comment="ZnIn2Ni PBE relaxed" delta_e_f_ev_per_fu=0.5 crystal_system=monoclinic pbc="T T T"
Zn 0.000 0.000 0.000
In 1.263 0.000 3.567
In 6.380 0.000 1.316
Ni 3.821 0.000 2.441

4
Lattice="3.420 0.000 0.000 0.000 3.821 0.000 0.000 0.000 5.605" Properties=species:S:1:pos:R:3 comment="ZnIn2Ni PBE relaxed" delta_e_f_ev_per_fu=0.4 crystal_system=orthorhombic pbc="T T T"
Zn 0.000 0.000 0.000
In 0.000 0.000 3.020
In 1.710 1.911 1.284
Ni 1.710 1.911 4.195

10
Lattice="5.908 0.000 0.000 -2.954 5.116 0.000 0.000 0.000 4.790" Properties=species:S:1:pos:R:3 comment="ZnInNi3 PBE relaxed" de_polymorph_mev_per_atom=0 delta_e_f_ev_per_fu=0.7 crystal_system=hexagonal pbc="T T T"
Zn 0.000 0.000 0.000
Zn 0.000 0.000 2.395
In 0.000 3.411 1.198
In 2.954 1.705 3.593
Ni 0.000 2.036 3.593
Ni -1.191 4.098 3.593
Ni 1.763 1.018 1.198
Ni 1.191 4.098 3.593
Ni 4.145 1.018 1.198
Ni 2.954 3.081 1.198

4
Lattice="3.665 0.000 0.000 0.000 4.104 0.000 -1.666 0.000 4.946" Properties=species:S:1:pos:R:3 comment="ZnIn2Ni PBE relaxed" delta_e_f_ev_per_fu=0.0 crystal_system=monoclinic pbc="T T T"
Zn 0.000 0.000 0.000
In 0.141 0.000 2.789
In 1.832 2.052 0.818
Ni 1.935 2.052 3.548

Number 1: DOS at the Fermi energy 10.97 states/eV/cell. Number 2: DOS at the Fermi energy 9.62 states/eV/cell. Number 3: DOS at the Fermi energy 0.91 states/eV/cell. Number 4: DOS at the Fermi energy 1.29 states/eV/cell. Number 5: DOS at the Fermi energy 1.94 states/eV/cell. Number 6: DOS at the Fermi energy 2.26 states/eV/cell. Number 7: DOS at the Fermi energy 2.07 states/eV/cell. Number 8: DOS at the Fermi energy 1.92 states/eV/cell. Number 9: DOS at the Fermi energy 8.39 states/eV/cell. Number 10: DOS at the Fermi energy 4.82 states/eV/cell. Number 11: DOS at the Fermi energy 4.83 states/eV/cell. Number 12: DOS at the Fermi energy 9.53 states/eV/cell. Number 13: DOS at the Fermi energy 2.62 states/eV/cell. Number 14: DOS at the Fermi energy 4.89 states/eV/cell. Number 15: DOS at the Fermi energy 1.77 states/eV/cell. Number 16: DOS at the Fermi energy 5.93 states/eV/cell. Number 17: DOS at the Fermi energy 2.41 states/eV/cell. Number 18: DOS at the Fermi energy 4.42 states/eV/cell. Number 19: DOS at the Fermi energy 4.95 states/eV/cell. Number 20: DOS at the Fermi energy 4.49 states/eV/cell. Number 21: DOS at the Fermi energy 3.67 states/eV/cell. Number 22: DOS at the Fermi energy 0.94 states/eV/cell. Number 23: DOS at the Fermi energy 2.09 states/eV/cell. Number 24: DOS at the Fermi energy 0.99 states/eV/cell. Number 25: DOS at the Fermi energy 6.86 states/eV/cell. Number 26: DOS at the Fermi energy 1.43 states/eV/cell.